Computed, not measured: a relaxed structure of ErPdPt at the PBE level of DFT.

As for the formation energy from the elements: -762 meV per atom. The value obtained for the total energy is -72.32 eV/cell. For the excess energy over the best structure of this formula in the dataset, the calculation gives 0 meV/atom. The calculation puts the volume at 265.7 Å³ per cell.

It has space group F-43m (No. 216), with a = 6.4287 Å, b = 6.4287 Å, c = 6.4287 Å, α = 90.00°, β = 90.00° and γ = 90.00°. The asymmetric unit holds Er at (0.0000, 0.0000, 0.0000), Pd at (0.0000, 0.0000, 0.5000) and Pt at (0.2500, 0.2500, 0.2500).